No. 1
Material: TeAu3S
Method: DFT, meta-GGA SCAN
State: PBEsol geometry

```
TeAu3S
1.0
5.109 0.000 0.000
0.000 5.109 0.000
0.000 0.000 5.109
Te Au S
1 3 1
direct
0.000 0.000 0.000
0.000 0.000 0.500
0.000 0.500 0.000
0.500 0.000 0.000
0.500 0.500 0.500
```

Properties
- Raw formation energy: 0.800 eV/atom
- Space-group type: No. 221
- Magnetic moment: 1.146 μB/cell
- VASP energy: -50.070 eV per atom
- Mass density: 9.3 Mg/m³

---

No. 2
Material: Hf2FeOs
Method: DFT, meta-GGA SCAN
State: PBEsol geometry

```
Hf2FeOs
1.0
0.000 3.166 3.166
3.166 0.000 3.166
3.166 3.166 0.000
Hf Fe Os
2 1 1
direct
0.250 0.250 0.250
0.750 0.750 0.750
0.000 0.000 0.000
0.500 0.500 0.500
```

Properties
- E_form: -0.620 eV per atom
- Space-group type: No. 225
- Magnetic moment: 0.142 μB/cell
- VASP energy: -54.459 eV per atom
- Mass density: 15.8 Mg/m³

---

No. 3
Material: LaRu
Method: DFT, meta-GGA SCAN
State: PBEsol geometry

```
LaRu
1.0
8.198 0.000 0.000
0.000 4.472 0.000
0.000 0.000 5.335
La Ru
4 4
direct
0.174 0.250 0.066
0.326 0.750 0.566
0.674 0.250 0.434
0.826 0.750 0.934
0.024 0.250 0.572
0.476 0.750 0.072
0.524 0.250 0.928
0.976 0.750 0.428
```

Properties
- E_form: -0.215 eV per atom
- Space-group type: No. 62
- Magnetic moment: 0.000 μB/cell
- VASP energy: -39.181 eV per atom
- Mass density: 8.1 Mg/m³

---

No. 4
Material: Cr2InSnSe
Method: DFT, meta-GGA SCAN
State: PBEsol geometry

```
Cr2InSnSe
1.0
5.104 0.000 0.000
0.000 5.104 0.000
0.000 0.000 5.460
Cr In Sn Se
2 1 1 1
direct
0.000 0.500 0.000
0.500 0.000 0.000
0.000 0.000 0.500
0.500 0.500 0.000
0.500 0.500 0.500
```

Properties
- Raw formation energy: 0.711 eV/atom
- Space-group type: No. 123
- Magnetic moment: 9.264 μB/cell
- VASP energy: -24.520 eV per atom
- Mass density: 4.9 Mg/m³

---

No. 5
Material: CdRu2F
Method: DFT, meta-GGA SCAN
State: PBEsol geometry

```
CdRu2F
1.0
0.000 3.087 3.087
3.087 0.000 3.087
3.087 3.087 0.000
Cd Ru F
1 2 1
direct
0.000 0.000 0.000
0.250 0.250 0.250
0.750 0.750 0.750
0.500 0.500 0.500
```

Properties
- Raw formation energy: 0.572 eV/atom
- Space-group type: No. 225
- Magnetic moment: 4.582 μB/cell
- VASP energy: -25.329 eV per atom
- Mass density: 9.4 Mg/m³

---

No. 6
Material: Ta2Ir
Method: DFT, meta-GGA SCAN
State: PBEsol geometry

```
Ta2Ir
1.0
1.487 -7.146 0.000
1.487 7.146 0.000
0.000 0.000 4.633
Ta Ir
4 2
direct
0.072 0.928 0.750
0.253 0.747 0.250
0.747 0.253 0.750
0.928 0.072 0.250
0.402 0.598 0.750
0.598 0.402 0.250
```

Properties
- E_form: -0.453 eV per atom
- Space-group type: No. 63
- Magnetic moment: 0.000 μB/cell
- VASP energy: -68.541 eV per atom
- Mass density: 18.7 Mg/m³

---

No. 7
Material: ScP2Pd
Method: DFT, meta-GGA SCAN
State: PBEsol geometry

```
ScP2Pd
1.0
0.000 3.119 3.119
3.119 0.000 3.119
3.119 3.119 0.000
Sc P Pd
1 2 1
direct
0.000 0.000 0.000
0.250 0.250 0.250
0.750 0.750 0.750
0.500 0.500 0.500
```

Properties
- E_form: -0.474 eV per atom
- Space-group type: No. 225
- Magnetic moment: 0.013 μB/cell
- VASP energy: -17.426 eV per atom
- Mass density: 5.8 Mg/m³

---

No. 8
Material: GaCo2Ni2
Method: DFT, meta-GGA SCAN
State: PBEsol geometry

```
GaCo2Ni2
1.0
-1.618 1.618 5.711
1.618 -1.618 5.711
1.618 1.618 -5.711
Ga Co Ni
1 2 2
direct
0.000 0.000 0.000
0.401 0.401 0.000
0.599 0.599 0.000
0.250 0.750 0.500
0.750 0.250 0.500
```

Properties
- E_form: 0.308 eV per atom
- Space-group type: No. 139
- Magnetic moment: 4.181 μB/cell
- VASP energy: -16.352 eV per atom
- Mass density: 8.5 Mg/m³